Here is Li4CoC6O12 after structural relaxation from the Open Quantum Materials Database. Energies are from PBE with a Hubbard U.

extended XYZ file:
```
46
Lattice="-1.056 1.660 9.728 4.265 -2.447 0.880 4.848 7.240 -3.361" Properties=species:S:1:pos:R:3 pbc="T T T"
C 1.115 0.192 5.433
C 2.571 1.029 7.829
C 1.669 2.241 8.113
C 4.832 0.093 0.993
C 1.908 2.465 0.860
C 5.485 2.085 3.695
C 2.572 4.367 3.552
C 6.149 3.987 6.387
C 3.225 6.359 6.253
C 6.388 4.211 -0.866
C 5.486 5.423 -0.582
C 6.942 6.260 1.814
Co 2.132 -1.224 0.440
Co 2.424 3.620 -1.681
Li 0.133 0.988 2.333
Li 2.799 1.026 3.453
Li 4.963 0.585 5.914
Li 3.437 3.028 6.168
Li 4.620 3.424 1.079
Li 3.094 5.867 1.333
Li 5.259 5.426 3.794
Li 7.924 5.464 4.914
O 2.888 -0.844 4.205
O 2.390 0.011 8.571
O 1.207 1.192 4.661
O 0.808 2.108 9.028
O 3.827 -0.459 1.543
O 3.382 1.119 6.873
O 1.917 1.905 1.986
O 1.836 3.274 7.390
O 4.824 0.725 -0.101
O 4.459 1.622 4.273
O 2.900 3.018 0.286
O 2.530 3.800 4.678
O 5.527 2.652 2.569
O 5.157 3.434 6.961
O 3.598 4.830 2.974
O 3.233 5.727 7.348
O 6.221 3.178 -0.143
O 6.141 4.547 5.261
O 4.675 5.333 0.374
O 4.231 6.911 5.703
O 7.249 4.344 -1.782
O 6.850 5.260 2.586
O 5.667 6.441 -1.324
O 5.169 7.296 3.042
```

Space group: No. 14
Calculated total energy (eV/atom): -7.001